Entry from Alexandria: a relaxed MgZnIr2 crystal (PBE-GGA).

Calculated values
DOS at the Fermi energy, states/eV/atom: 0.69
ΔH_f (0 K), eV/f.u.: -0.6
Crystal system: orthorhombic
Total magnetic moment, μB/cell: 0.00

The structure in CIF format:
```
data_MgZnIr2
_space_group_name_H-M_alt 'I m m 2'
_space_group_IT_number 44
_space_group_name_Hall 'I 2 -2'
_cell_length_a 2.941
_cell_length_b 4.392
_cell_length_c 9.338
_cell_angle_alpha 90.00
_cell_angle_beta 90.00
_cell_angle_gamma 90.00
loop_
_atom_site_label
_atom_site_type_symbol
_atom_site_fract_x
_atom_site_fract_y
_atom_site_fract_z
Mg1 Mg 0.000 0.000 0.000
Zn1 Zn 0.000 0.500 0.770
Ir1 Ir 0.000 0.000 0.508
Ir2 Ir 0.000 0.500 0.243
```